# NbNiBiIr

A relaxed NbNiBiIr crystal (PBE, OQMD).

a b c (Å): 6.490 6.490 6.490
angles (deg): 90.00 90.00 90.00
Space group F-43m (No. 216)
Unique sites:
Nb (0.000, 0.000, 0.000) x4
Ni (0.000, 0.000, 0.500) x4
Bi (0.250, 0.250, 0.250) x4
Ir (0.250, 0.250, 0.750) x4

Results
Total magnetization: 0.0 μB per formula unit
Total energy: -6.932 eV per atom